The following is a DFT calculation (PBE-GGA) of a geometry-optimized CeDy2Zr structure.

a b c (Å): 4.0427 4.0427 7.0297
angles (deg): 90.00 90.00 90.00
Closest atoms and distances in Å follow each position.
Fractional positions:
Ce  0.0000  0.0000  0.0000  8 Dy 3.42, 2 Zr 3.51
Dy  0.5000  0.5000  0.2674  1 Dy 3.27, 4 Zr 3.29, 4 Ce 3.42
Dy  0.5000  0.5000  0.7326  1 Dy 3.27, 4 Zr 3.29, 4 Ce 3.42
Zr  0.0000  0.0000  0.5000  8 Dy 3.29, 2 Ce 3.51

Its volume is 115 Å³/f.u. The calculation puts the energy above the most stable polymorph in this dataset at 0.114 eV/atom. The size of the total moment is 0.7 Bohr magnetons per cell. Its formation enthalpy at 0 K is 5.24 kcal/mol of atoms.